Entry 1:
## KUZnO4 (PBE)

Data for a relaxed KUZnO4 crystal.

Cell: 6.2917 7.0116 10.4397 Å, 90.00 90.00 90.00°
Closest atoms and distances in Å follow each position.
Space group Imma (No. 74)
Unique sites:
K1 0.0000 0.2500 0.1703 (multiplicity 4)  4 O 2.50-2.54
U1 0.0000 0.0000 0.5000 (multiplicity 4)  6 O 2.17-2.18
Zn1 0.2500 0.2500 0.7500 (multiplicity 4)  4 O 2.12
O1 0.0000 0.0599 0.7038 (multiplicity 8)  2 Zn 2.12, 1 U 2.17
O2 0.2053 0.2500 0.4897 (multiplicity 8)  2 U 2.18

Theoretical density   5.9 g/cm3
VASP energy   -49.5 eV/f.u.
Uncorrected formation energy   -2.2924 eV per atom
Total moment   1.0 μB/f.u.

=====

Entry 2:
## TlIn2GaOs (PBE)

Data for a relaxed TlIn2GaOs crystal.

Cell: 5.2335 5.2335 4.8829 Å, 90.00 90.00 90.00°
Closest atoms and distances in Å follow each position.
Space group P4/mmm (No. 123)
Unique sites:
Tl1 0.0000 0.0000 0.0000 (multiplicity 1)  8 In 3.58, 4 Ga 3.70
In1 0.0000 0.5000 0.5000 (multiplicity 2)  2 Os 2.62
Ga1 0.5000 0.5000 0.0000 (multiplicity 1)  2 Os 2.44
Os1 0.5000 0.5000 0.5000 (multiplicity 1)  2 Ga 2.44, 4 In 2.62

Calculated formation energy   0.55 eV/f.u.
Theoretical density   8.6 g/cm3
VASP energy   -21.6 eV/f.u.
Total moment   0.0 μB/f.u.

=====

Entry 3:
## Nb2HAu (PBE)

Data for a relaxed Nb2HAu crystal.

Cell: 3.9114 3.9114 14.1636 Å, 90.00 90.00 120.00°
Closest atoms and distances in Å follow each position.
Space group R-3m (No. 166, hexagonal axes)
Unique sites:
Nb1 0.0000 0.0000 0.2213 (multiplicity 6)  3 H 2.39
H1 0.0000 0.0000 0.5000 (multiplicity 3)  6 Nb 2.39
Au1 0.0000 0.0000 0.0000 (multiplicity 3)  6 Nb 2.76

Theoretical density   10.2 g/cm3
VASP energy   -25.5 eV/f.u.
Total moment   0.0 μB/f.u.
Excess energy over the best structure of this formula in the dataset   1.061 eV per formula unit

=====

Entry 4:
## Tl3Zn4InBr12 (PBE)

Data for a relaxed Tl3Zn4InBr12 crystal.

Cell: 15.5510 15.5510 12.6491 Å, 90.00 90.00 120.00°
Closest atoms and distances in Å follow each position.
Space group R32 (No. 155, hexagonal axes)
Unique sites:
Tl1 0.0000 0.5262 0.0000 (multiplicity 9)  6 Br 3.33-3.38
Zn1 0.0000 0.0000 0.5000 (multiplicity 3)  3 Br 2.34
Zn2 0.0000 0.4678 0.5000 (multiplicity 9)  3 Br 2.35
In1 0.0000 0.0000 0.0000 (multiplicity 3)  6 Br 3.52
Br1 0.0000 0.6187 0.5000 (multiplicity 9)  1 Zn 2.35
Br2 0.0000 0.8498 0.5000 (multiplicity 9)  1 Zn 2.34
Br3 0.0127 0.1911 0.1596 (multiplicity 18)  1 Zn 2.35

Theoretical density   3.7 g/cm3
VASP energy   -51.0 eV/f.u.
Uncorrected formation energy   -0.8001 eV per atom
Total moment   0.0 μB/f.u.

=====

Entry 5:
## Zr2BiMoH (PBE)

Data for a relaxed Zr2BiMoH crystal.

Cell: 4.5716 4.5716 4.0889 Å, 90.00 90.00 90.00°
Closest atoms and distances in Å follow each position.
Space group P4/mmm (No. 123)
Unique sites:
Zr1 0.0000 0.5000 0.0000 (multiplicity 2)  2 H 2.29
Bi1 0.0000 0.0000 0.5000 (multiplicity 1)  8 Zr 3.07, 4 Mo 3.23
Mo1 0.5000 0.5000 0.5000 (multiplicity 1)  2 H 2.04
H1 0.5000 0.5000 0.0000 (multiplicity 1)  2 Mo 2.04, 4 Zr 2.29

Theoretical density   9.5 g/cm3
VASP energy   -35.8 eV/f.u.
Total moment   0.0 μB/f.u.

=====

Entry 6:
## ErTmCdFe (PBE)

Data for a relaxed ErTmCdFe crystal.

Cell: 7.0743 7.0743 7.0743 Å, 90.00 90.00 90.00°
Closest atoms and distances in Å follow each position.
Space group F-43m (No. 216)
Unique sites:
Er1 0.0000 0.0000 0.0000 (multiplicity 4)  4 Cd 3.06, 4 Fe 3.06
Tm1 0.0000 0.0000 0.5000 (multiplicity 4)  4 Fe 3.06, 4 Cd 3.06
Cd1 0.2500 0.2500 0.7500 (multiplicity 4)  4 Er 3.06, 4 Tm 3.06
Fe1 0.2500 0.2500 0.2500 (multiplicity 4)  4 Er 3.06, 4 Tm 3.06

Calculated formation energy   -0.09 eV/f.u.
Theoretical density   9.5 g/cm3
VASP energy   -18.5 eV/f.u.
Total moment   1.6 μB/f.u.

=====

Entry 7:
## Cs2BaPdO4 (PBE)

Data for a relaxed Cs2BaPdO4 crystal.

Cell: 6.8511 14.5709 24.7967 Å, 90.00 90.00 90.00°
Closest atoms and distances in Å follow each position.
Space group Fddd (No. 70, origin choice 2)
Unique sites:
Cs1 0.1250 0.1250 0.3174 (multiplicity 16)  2 O 2.75
Ba1 0.1250 0.1250 0.1250 (multiplicity 8)  4 O 2.49
Pd1 0.1250 0.1250 0.6250 (multiplicity 8)  4 O 1.98
O1 0.0764 0.2778 0.8687 (multiplicity 32)  1 Pd 1.98

Theoretical density   3.1 g/cm3
VASP energy   -36.8 eV/f.u.
Uncorrected formation energy   -1.0220 eV per atom
Total moment   2.0 μB/f.u.

=====

Entry 8:
## LiPm2Pu (PBE)

Data for a relaxed LiPm2Pu crystal.

Cell: 3.4983 3.4983 9.4790 Å, 90.00 90.00 90.00°
Closest atoms and distances in Å follow each position.
Space group P4/mmm (No. 123)
Unique sites:
Li1 0.0000 0.0000 0.0000 (multiplicity 1)  8 Pm 3.37, 4 Li 3.50
Pm1 0.5000 0.5000 0.2421 (multiplicity 2)  4 Li 3.37, 4 Pu 3.48, 4 Pm 3.50
Pu1 0.0000 0.0000 0.5000 (multiplicity 1)  8 Pm 3.48, 4 Pu 3.50

Calculated formation energy   0.62 eV/f.u.
Theoretical density   7.7 g/cm3
VASP energy   -25.1 eV/f.u.
Total moment   6.0 μB/f.u.
Excess energy over the best structure of this formula in the dataset   0.000 eV per formula unit

=====

Entry 9:
## ReS3Cl (PBE)

Data for a relaxed ReS3Cl crystal.

Cell: 4.6135 4.6135 4.6135 Å, 90.00 90.00 90.00°
Closest atoms and distances in Å follow each position.
Space group Pm-3m (No. 221)
Unique sites:
Re1 0.0000 0.0000 0.0000 (multiplicity 1)  6 S 2.31
S1 0.0000 0.0000 0.5000 (multiplicity 3)  2 Re 2.31
Cl1 0.5000 0.5000 0.5000 (multiplicity 1)  12 S 3.26

Theoretical density   5.4 g/cm3
VASP energy   -25.1 eV/f.u.
Uncorrected formation energy   0.3122 eV per atom
Total moment   0.0 μB/f.u.
Excess energy over the best structure of this formula in the dataset   0.000 eV per formula unit

=====

Entry 10:
## Ce2Ho3Se8 (PBE)

Data for a relaxed Ce2Ho3Se8 crystal.

Cell: 14.7176 8.1708 6.9473 Å, 90.00 109.12 90.00°
Closest atoms and distances in Å follow each position.
Space group C2/m (No. 12)
Unique sites:
Ce1 0.2408 0.0000 0.1704 (multiplicity 4)  6 Se 2.84-2.98
Ho1 0.0000 0.2405 0.5000 (multiplicity 4)  6 Se 2.80-2.89
Ho2 0.0000 0.5000 0.0000 (multiplicity 2)  6 Se 2.84-2.85
Se1 0.1117 0.0000 0.3972 (multiplicity 4)  2 Ho 2.80, 1 Ce 2.84
Se2 0.1158 0.5000 0.4192 (multiplicity 4)  3 Ho 2.85-2.89, 1 Ce 2.94
Se3 0.1228 0.2652 0.9122 (multiplicity 8)  2 Ho 2.84-2.85, 2 Ce 2.97-2.98

Theoretical density   5.9 g/cm3
VASP energy   -76.4 eV/f.u.
Uncorrected formation energy   -1.7610 eV per atom
Total moment   1.0 μB/f.u.
Excess energy over the best structure of this formula in the dataset   0.000 eV per formula unit

=====

Entry 11:
## YEr2Tm (PBE)

Data for a relaxed YEr2Tm crystal.

Cell: 3.5208 3.5208 34.4107 Å, 90.00 90.00 120.00°
Closest atoms and distances in Å follow each position.
Space group R-3m (No. 166, hexagonal axes)
Unique sites:
Y1 0.0000 0.0000 0.0000 (multiplicity 3)  6 Y 3.52, 6 Er 3.54
Er1 0.0000 0.0000 0.2491 (multiplicity 6)  3 Tm 3.49, 6 Er 3.52, 3 Y 3.54
Tm1 0.0000 0.0000 0.5000 (multiplicity 3)  6 Er 3.49, 6 Tm 3.52

Calculated formation energy   0.11 eV/f.u.
Theoretical density   8.0 g/cm3
VASP energy   -19.9 eV/f.u.
Total moment   0.0 μB/f.u.
Excess energy over the best structure of this formula in the dataset   0.074 eV per formula unit

=====

Entry 12:
## ScSiBr3 (PBE)

Data for a relaxed ScSiBr3 crystal.

Cell: 5.3294 5.3294 5.3294 Å, 90.00 90.00 90.00°
Closest atoms and distances in Å follow each position.
Space group Pm-3m (No. 221)
Unique sites:
Sc1 0.0000 0.0000 0.0000 (multiplicity 1)  6 Br 2.66
Si1 0.5000 0.5000 0.5000 (multiplicity 1)  12 Br 3.77
Br1 0.0000 0.0000 0.5000 (multiplicity 3)  2 Sc 2.66

Theoretical density   3.4 g/cm3
VASP energy   -18.8 eV/f.u.
Uncorrected formation energy   -0.4080 eV per atom
Total moment   2.0 μB/f.u.
Excess energy over the best structure of this formula in the dataset   0.000 eV per formula unit

=====

Entry 13:
## Pm2SmC (PBE)

Data for a relaxed Pm2SmC crystal.

Cell: 3.7745 3.7745 31.0335 Å, 90.00 90.00 120.00°
Closest atoms and distances in Å follow each position.
Space group R-3m (No. 166, hexagonal axes)
Unique sites:
Pm1 0.0000 0.0000 0.0723 (multiplicity 6)  1 C 2.24
Sm1 0.0000 0.0000 0.5000 (multiplicity 3)  6 Pm 3.65, 6 Sm 3.77
C1 0.0000 0.0000 0.0000 (multiplicity 3)  2 Pm 2.24

Calculated formation energy   4.11 eV/f.u.
Theoretical density   5.9 g/cm3
VASP energy   -19.3 eV/f.u.
Total moment   0.8 μB/f.u.
Excess energy over the best structure of this formula in the dataset   4.233 eV per formula unit

=====

Entry 14:
## AlZnNi3 (PBE)

Data for a relaxed AlZnNi3 crystal.

Cell: 5.8808 10.1624 4.5126 Å, 90.00 90.00 90.00°
Closest atoms and distances in Å follow each position.
Space group Cmcm (No. 63)
Unique sites:
Al1 0.0000 0.1664 0.2500 (multiplicity 4)  6 Ni 2.63
Zn1 0.0000 0.5000 0.0000 (multiplicity 4)  2 Zn 2.26, 6 Ni 2.34
Ni1 0.0000 0.2986 0.7500 (multiplicity 4)  2 Ni 2.33, 2 Zn 2.34
Ni2 0.1980 0.1003 0.7500 (multiplicity 8)  2 Ni 2.33, 2 Zn 2.34

Calculated formation energy   0.48 eV/f.u.
Theoretical density   6.6 g/cm3
VASP energy   -21.9 eV/f.u.
Total moment   0.0 μB/f.u.
Excess energy over the best structure of this formula in the dataset   0.000 eV per formula unit

=====

Entry 15:
## Pr2SmDyEr4 (PBE)

Data for a relaxed Pr2SmDyEr4 crystal.

Cell: 5.0757 5.1005 10.0008 Å, 90.00 90.00 90.00°
Closest atoms and distances in Å follow each position.
Space group Pmmm (No. 47)
Unique sites:
Pr1 0.0000 0.0000 0.0000 (multiplicity 1)  8 Er 3.56, 4 Dy 3.60
Pr2 0.5000 0.5000 0.5000 (multiplicity 1)  8 Er 3.57-3.58, 4 Sm 3.60
Sm1 0.0000 0.0000 0.5000 (multiplicity 1)  8 Er 3.57-3.58, 4 Pr 3.60
Dy1 0.5000 0.5000 0.0000 (multiplicity 1)  8 Er 3.55-3.56, 4 Pr 3.60
Er1 0.0000 0.5000 0.2487 (multiplicity 2)  2 Dy 3.55, 4 Pr 3.56-3.57, 2 Sm 3.58, 4 Er 3.60
Er2 0.5000 0.0000 0.2490 (multiplicity 2)  4 Pr 3.56-3.58, 2 Dy 3.56, 2 Sm 3.57, 4 Er 3.60

Calculated formation energy   0.18 eV/f.u.
Theoretical density   8.1 g/cm3
VASP energy   -37.0 eV/f.u.
Total moment   0.0 μB/f.u.

=====

Entry 16:
## La8Cu2Pt (PBE)

Data for a relaxed La8Cu2Pt crystal.

Cell: 18.8259 5.2692 6.9955 Å, 90.00 108.17 90.00°
Closest atoms and distances in Å follow each position.
Space group C2/m (No. 12)
Unique sites:
La1 0.0255 0.0000 0.2943 (multiplicity 4)  1 Cu 2.91, 2 Pt 3.11
La2 0.0906 0.5000 0.9636 (multiplicity 4)  1 Pt 3.16, 2 Cu 3.35, 2 La 3.54
La3 0.1718 0.5000 0.5076 (multiplicity 4)  3 Cu 2.91-3.24, 1 Pt 3.22
La4 0.2002 0.0000 0.8493 (multiplicity 4)  1 Cu 2.93
Cu1 0.1727 0.0000 0.2393 (multiplicity 4)  5 La 2.91-3.24
Pt1 0.0000 0.5000 0.5000 (multiplicity 2)  8 La 3.11-3.22

Calculated formation energy   -2.78 eV/f.u.
Theoretical density   7.2 g/cm3
VASP energy   -56.4 eV/f.u.
Total moment   0.0 μB/f.u.
Excess energy over the best structure of this formula in the dataset   0.000 eV per formula unit

=====

Entry 17:
## Pr5PuS6 (PBE)

Data for a relaxed Pr5PuS6 crystal.

Cell: 7.0624 12.2502 7.0811 Å, 90.00 109.46 90.00°
Closest atoms and distances in Å follow each position.
Space group C2/m (No. 12)
Unique sites:
Pr1 0.0000 0.0000 0.0000 (multiplicity 2)  6 S 2.88-2.94
Pr2 0.0000 0.1673 0.5000 (multiplicity 4)  6 S 2.89-2.91
Pr3 0.0000 0.3297 0.0000 (multiplicity 4)  6 S 2.89-2.92
Pu1 0.0000 0.5000 0.5000 (multiplicity 2)  6 S 2.82-2.83
S1 0.2433 0.5000 0.2525 (multiplicity 4)  1 Pu 2.83, 5 Pr 2.91-2.94
S2 0.2446 0.3372 0.7449 (multiplicity 8)  1 Pu 2.82, 5 Pr 2.88-2.92

Theoretical density   6.6 g/cm3
VASP energy   -86.8 eV/f.u.
Uncorrected formation energy   -1.9866 eV per atom
Total moment   5.7 μB/f.u.

=====

Entry 18:
## Cs2MnTlI6 (PBE)

Data for a relaxed Cs2MnTlI6 crystal.

Cell: 12.1908 12.1908 12.1908 Å, 90.00 90.00 90.00°
Closest atoms and distances in Å follow each position.
Space group Fm-3m (No. 225)
Unique sites:
Cs1 0.2500 0.2500 0.2500 (multiplicity 8)  12 I 4.32
Mn1 0.0000 0.0000 0.0000 (multiplicity 4)  6 I 2.81
Tl1 0.0000 0.0000 0.5000 (multiplicity 4)  6 I 3.29
I1 0.0000 0.0000 0.2305 (multiplicity 24)  1 Mn 2.81

Theoretical density   4.7 g/cm3
VASP energy   -31.4 eV/f.u.
Uncorrected formation energy   -0.8853 eV per atom
Total moment   4.0 μB/f.u.
Excess energy over the best structure of this formula in the dataset   0.000 eV per formula unit

=====

Entry 19:
## EuBi2Pb (PBE)

Data for a relaxed EuBi2Pb crystal.

Cell: 8.0679 8.0679 8.0679 Å, 90.00 90.00 90.00°
Closest atoms and distances in Å follow each position.
Space group Fm-3m (No. 225)
Unique sites:
Eu1 0.0000 0.0000 0.0000 (multiplicity 4)  8 Bi 3.49
Bi1 0.2500 0.2500 0.2500 (multiplicity 8)  4 Pb 3.49, 4 Eu 3.49
Pb1 0.0000 0.0000 0.5000 (multiplicity 4)  8 Bi 3.49

Calculated formation energy   -1.34 eV/f.u.
Theoretical density   9.8 g/cm3
VASP energy   -23.1 eV/f.u.
Total moment   7.0 μB/f.u.
Excess energy over the best structure of this formula in the dataset   0.447 eV per formula unit

=====

Entry 20:
## PaICl (PBE)

Data for a relaxed PaICl crystal.

Cell: 5.0394 5.0394 3.6525 Å, 90.00 90.00 120.00°
Closest atoms and distances in Å follow each position.
Space group P-6m2 (No. 187)
Unique sites:
Pa1 0.0000 0.0000 0.0000 (multiplicity 1)  3 Cl 2.91
I1 0.6667 0.3333 0.5000 (multiplicity 1)  6 Pa 3.44, 6 Cl 3.44, 2 I 3.65
Cl1 0.3333 0.6667 0.0000 (multiplicity 1)  3 Pa 2.91

Theoretical density   8.1 g/cm3
VASP energy   -15.1 eV/f.u.
Uncorrected formation energy   -0.7264 eV per atom
Total moment   2.3 μB/f.u.
Excess energy over the best structure of this formula in the dataset   1.261 eV per formula unit

=====

Entry 21:
## Tm2AlNi3 (PBE)

Data for a relaxed Tm2AlNi3 crystal.

Cell: 5.2321 5.2321 8.0787 Å, 90.00 90.00 120.00°
Closest atoms and distances in Å follow each position.
Space group P6_3/mmc (No. 194)
Unique sites:
Tm1 0.3333 0.6667 0.0584 (multiplicity 4)  9 Ni 2.90-3.04, 3 Al 3.06, 4 Tm 3.10-3.16
Al1 0.0000 0.0000 0.0000 (multiplicity 2)  6 Ni 2.53
Ni1 0.1686 0.3371 0.7500 (multiplicity 6)  2 Al 2.53, 4 Ni 2.59-2.65

Calculated formation energy   -3.32 eV/f.u.
Theoretical density   9.4 g/cm3
VASP energy   -33.4 eV/f.u.
Total moment   0.0 μB/f.u.
Excess energy over the best structure of this formula in the dataset   0.000 eV per formula unit

=====

Entry 22:
## CuHRh3 (PBE)

Data for a relaxed CuHRh3 crystal.

Cell: 4.5421 4.5421 4.5421 Å, 90.00 90.00 90.00°
Closest atoms and distances in Å follow each position.
Space group Pm-3m (No. 221)
Unique sites:
Cu1 0.0000 0.0000 0.0000 (multiplicity 1)  6 Rh 2.27
H1 0.5000 0.5000 0.5000 (multiplicity 1)  12 Rh 3.21
Rh1 0.0000 0.0000 0.5000 (multiplicity 3)  2 Cu 2.27

Theoretical density   6.6 g/cm3
VASP energy   -20.3 eV/f.u.
Total moment   3.9 μB/f.u.
Excess energy over the best structure of this formula in the dataset   8.902 eV per formula unit